Entry 1:
Material: Al2SiCl
Method: DFT, GGA-PBEsol
State: optimized geometry

Geometry as POSCAR:
```
Al2SiCl
1.0
-2.389 -1.609 -0.365
1.117 -2.050 1.727
-3.639 3.836 6.908
Si Al Cl
1 2 1
Direct
0.500 0.500 0.807
0.500 0.500 0.245
0.000 0.000 0.018
0.000 0.000 0.431
```

Computed properties:
**Relative energy among the computed polymorphs**: 7 meV/atom
**ΔE_f (raw)**: -8 meV per atom
**VASP energy**: -3.9920 eV/atom

---

Entry 2:
Material: Li3MnVP4O14
Method: DFT, GGA-PBEsol
State: optimized geometry

Geometry as POSCAR:
```
Li3MnVP4O14
1.0
-2.405 2.610 -3.479
0.801 -3.157 -6.218
-6.725 -4.494 1.267
Li Mn O P V
3 1 14 4 1
Direct
0.175 0.344 0.358
0.719 0.096 0.164
0.828 0.661 0.852
0.197 0.270 0.985
0.449 0.369 0.194
0.371 0.746 0.166
0.921 0.879 0.334
0.194 0.530 0.531
0.840 0.880 0.692
0.565 0.242 0.656
0.623 0.585 0.673
0.621 0.074 0.941
0.771 0.520 0.344
0.042 0.140 0.805
0.128 0.114 0.204
0.396 0.903 0.444
0.242 0.508 0.841
0.796 0.501 0.037
0.206 0.912 0.298
0.398 0.480 0.678
0.780 0.081 0.781
0.605 0.524 0.185
0.787 0.724 0.505
```

Computed properties:
**ΔE_f (raw)**: -2223 meV per atom
**VASP energy**: -7.5253 eV/atom